(1)
# Fe2IrRh

A geometry-optimized Fe2IrRh structure (PBE-GGA, the Alexandria database).

## Properties
As for the total moment: 5.0 μB per cell. The raw total energy comes out at -8.27 eV per atom. As for the density of states at the Fermi level: 5.6 states/eV/cell. As for the energy of formation from the pure elements: 0.02 eV per atom. The value obtained for the volume is 53 Å³/cell.

Lattice parameters (Å, degrees): 2.696 3.667 5.328 90.00 90.00 90.00
Each line ends with the local moment (μB).
Sites, in units of the cell vectors:
Fe1 0.500 0.500 0.252  2.34
Fe2 0.000 0.000 0.003  2.58
Rh1 0.500 0.500 0.761  0.10
Ir1 0.000 0.000 0.485  -0.01


(2)
# FeIr3Rh

A geometry-optimized FeIr3Rh structure (PBE-GGA, the Alexandria database).

## Properties
As for the total moment: 0.0 μB per cell. For the energy above the most stable polymorph in this dataset, the calculation gives 7.718 eV/f.u. The raw total energy comes out at -6.96 eV per atom. As for the density of states at the Fermi level: 7.6 states/eV/cell. As for the energy of formation from the pure elements: 1.52 eV per atom. The value obtained for the volume is 85 Å³/cell.

Lattice parameters (Å, degrees): 4.395 4.395 4.395 90.00 90.00 90.00
Sites, in units of the cell vectors:
Fe1 0.000 0.000 0.000
Ir1 0.000 0.500 0.000
Ir2 0.500 0.000 0.000
Ir3 0.000 0.000 0.500
Rh1 0.500 0.500 0.500


(3)
# FeIr2Rh

A geometry-optimized FeIr2Rh structure (PBE-GGA, the Alexandria database).

## Properties
As for the total moment: 10.6 μB per cell. The raw total energy comes out at -8.41 eV per atom. As for the density of states at the Fermi level: 18.9 states/eV/cell. As for the energy of formation from the pure elements: -0.03 eV per atom. The value obtained for the volume is 222 Å³/cell.

Lattice parameters (Å, degrees): 4.346 4.709 10.842 90.00 90.00 90.00
Each line ends with the local moment (μB).
Sites, in units of the cell vectors:
Ir1 0.250 0.082 0.064  -0.04
Ir2 0.250 0.587 0.689  0.00
Ir3 0.250 0.087 0.811  0.00
Ir4 0.750 0.418 0.564  -0.04
Ir5 0.750 0.913 0.189  0.00
Ir6 0.750 0.918 0.936  -0.04
Ir7 0.250 0.582 0.436  -0.04
Ir8 0.750 0.413 0.311  0.00
Rh1 0.750 0.915 0.437  0.03
Rh2 0.250 0.085 0.563  0.03
Rh3 0.750 0.415 0.063  0.03
Rh4 0.250 0.585 0.937  0.03
Fe1 0.750 0.420 0.811  2.65
Fe2 0.250 0.580 0.189  2.65
Fe3 0.250 0.080 0.311  2.65
Fe4 0.750 0.920 0.689  2.65


(4)
# Fe4Ir12Rh

A geometry-optimized Fe4Ir12Rh structure (PBE-GGA, the Alexandria database).

## Properties
As for the total moment: 11.9 μB per cell. The raw total energy comes out at -8.26 eV per atom. As for the density of states at the Fermi level: 17.0 states/eV/cell. As for the energy of formation from the pure elements: 0.42 eV per atom. The value obtained for the volume is 261 Å³/cell.

Lattice parameters (Å, degrees): 6.975 6.975 6.975 109.47 109.47 109.47
Each line ends with the local moment (μB).
Sites, in units of the cell vectors:
Fe1 0.000 0.000 0.500  3.03
Fe2 0.500 0.500 0.500  3.03
Fe3 0.000 0.500 0.000  3.03
Fe4 0.500 0.000 0.000  3.03
Ir1 0.500 0.750 0.250  0.12
Ir2 0.750 0.500 0.250  0.12
Ir3 0.500 0.250 0.750  0.12
Ir4 0.000 0.701 0.701  -0.03
Ir5 0.701 0.701 0.000  -0.03
Ir6 0.250 0.750 0.500  0.12
Ir7 0.250 0.500 0.750  0.12
Ir8 0.299 0.000 0.299  -0.03
Ir9 0.750 0.250 0.500  0.12
Ir10 0.701 0.000 0.701  -0.03
Ir11 0.299 0.299 0.000  -0.03
Ir12 0.000 0.299 0.299  -0.03
Rh1 0.000 0.000 0.000  -0.65